Entry 1:
Crystalline BiPtAu at its relaxed geometry, computed with PBE.

## Properties
* size of the total moment: 0.000 Bohr magnetons per cell
* electronic total energy: -4.489 eV/atom
* space-group type: Pnma, No. 62
* energy of formation from the pure elements: -0.089 eV per atom
* theoretical density: 14.89 Mg/m³

Cell and atoms, written as POSCAR:
```
BiPtAu
1.0
4.216 0.000 0.000
0.000 5.836 0.000
0.000 0.000 10.895
Bi Pt Au
4 4 4
Cartesian
1.054 4.127 8.937 Bi
3.162 1.709 1.958 Bi
1.054 4.627 3.489 Bi
3.162 1.209 7.406 Bi
1.054 3.274 1.020 Pt
3.162 2.562 9.875 Pt
1.054 5.480 6.468 Pt
3.162 0.356 4.427 Pt
1.054 2.130 4.981 Au
3.162 3.706 5.914 Au
1.054 0.788 10.429 Au
3.162 5.048 0.466 Au
```


Entry 2:
Crystalline Nb3V5H12 at its relaxed geometry, computed with PBE.

## Properties
* size of the total moment: 0.030 Bohr magnetons per cell
* electronic total energy: -5.955 eV/atom
* space-group type: Ia-3d, No. 230
* theoretical density: 5.78 Mg/m³

Cell and atoms, written as POSCAR:
```
Nb3V5H12
1.0
9.340 0.000 0.000
-3.113 8.806 0.000
-3.113 -4.403 7.626
Nb V H
12 20 48
Cartesian
5.448 2.752 0.953 Nb
5.448 6.054 0.953 Nb
-0.778 3.853 4.766 Nb
0.778 -0.550 2.860 Nb
7.005 0.000 1.906 Nb
0.778 4.403 1.906 Nb
2.335 0.000 5.719 Nb
-3.892 4.403 5.719 Nb
2.335 4.953 4.766 Nb
3.892 0.550 2.860 Nb
-2.335 -1.651 6.673 Nb
-2.335 1.651 6.673 Nb
-0.778 2.201 1.906 V
-1.557 4.403 0.000 V
0.000 0.000 0.000 V
2.335 1.651 0.953 V
3.113 -2.201 3.813 V
3.113 4.403 0.000 V
-2.335 4.953 2.860 V
3.892 -2.752 6.673 V
3.892 3.853 2.860 V
0.778 -2.201 5.719 V
2.335 6.604 1.906 V
1.557 2.201 3.813 V
4.670 0.000 0.000 V
-1.557 -2.201 3.813 V
-0.778 0.550 4.766 V
-0.778 7.155 0.953 V
-3.113 2.201 3.813 V
5.448 -0.550 4.766 V
0.778 2.752 6.673 V
3.892 2.201 5.719 V
6.112 0.952 0.410 H
0.115 3.033 3.194 H
6.821 1.969 2.156 H
4.075 1.319 1.029 H
1.140 3.395 5.060 H
6.519 4.398 1.247 H
-0.595 5.053 3.185 H
-2.519 7.487 1.029 H
0.417 5.411 5.060 H
4.377 4.408 1.247 H
4.785 2.322 2.784 H
4.785 7.854 0.410 H
-2.696 3.878 4.223 H
1.849 3.325 0.628 H
-3.228 6.483 2.784 H
1.672 -1.370 4.432 H
-0.417 0.483 1.657 H
1.849 5.485 0.619 H
4.075 6.836 2.156 H
-0.293 3.321 0.619 H
-1.974 4.886 5.969 H
2.151 3.752 3.185 H
4.253 4.928 4.223 H
3.406 -1.078 6.998 H
0.962 0.650 4.441 H
-1.140 -0.525 3.403 H
-0.293 5.480 0.628 H
-0.962 -2.433 5.470 H
5.087 -0.483 1.657 H
3.406 1.082 7.007 H
1.264 -1.082 7.007 H
1.442 5.773 3.194 H
3.530 3.920 5.969 H
6.341 -2.081 4.842 H
5.810 0.525 3.403 H
-1.672 -3.451 7.216 H
1.264 1.078 6.998 H
2.696 -1.008 2.566 H
-1.264 -0.005 6.379 H
-1.672 2.081 4.842 H
5.632 -3.084 6.597 H
3.708 -0.650 4.441 H
-0.962 3.084 6.597 H
-3.406 0.005 6.379 H
1.974 1.008 2.566 H
-3.708 2.433 5.470 H
2.998 1.370 4.432 H
-2.998 3.451 7.216 H
```


Entry 3:
Crystalline PrHgPdPb at its relaxed geometry, computed with PBE.

## Properties
* size of the total moment: 0.000 Bohr magnetons per cell
* electronic total energy: -3.973 eV/atom
* space-group type: F-43m, No. 216
* energy of formation from the pure elements: -0.478 eV per atom
* theoretical density: 11.12 Mg/m³

Cell and atoms, written as POSCAR:
```
PrHgPdPb
1.0
-3.663 3.533 0.917
-4.743 -0.624 -1.963
-3.962 -1.134 3.124
Pb Pr Hg Pd
1 1 1 1
Cartesian
-6.184 0.888 1.039 Pb
0.000 0.000 0.000 Pr
-9.277 1.332 1.558 Hg
-3.092 0.444 0.519 Pd
```


Entry 4:
Crystalline InAgPt at its relaxed geometry, computed with PBE.

## Properties
* size of the total moment: 0.000 Bohr magnetons per cell
* electronic total energy: -4.065 eV/atom
* space-group type: F-43m, No. 216
* energy of formation from the pure elements: -0.188 eV per atom
* theoretical density: 10.74 Mg/m³

Cell and atoms, written as POSCAR:
```
InAgPt
1.0
-0.134 -3.172 -3.195
-0.362 -4.340 1.149
-3.831 -2.229 -0.801
Ag Pt In
1 1 1
Cartesian
0.000 0.000 0.000 Ag
-3.246 -7.306 -2.135 Pt
-2.164 -4.871 -1.423 In
```


Entry 5:
Crystalline SrCd2Cl at its relaxed geometry, computed with PBE.

## Properties
* size of the total moment: 0.000 Bohr magnetons per cell
* electronic total energy: -1.949 eV/atom
* space-group type: F-43m, No. 216
* theoretical density: 5.05 Mg/m³
* energy relative to the elements, uncorrected: -0.6091 eV/atom

Cell and atoms, written as POSCAR:
```
SrCd2Cl
1.0
5.448 0.000 0.000
2.724 4.718 0.000
2.724 1.573 4.449
Cd Cl Sr
2 1 1
Cartesian
0.000 0.000 0.000 Cd
2.724 1.573 1.112 Cd
5.448 3.146 2.224 Cl
8.173 4.718 3.336 Sr
```


Entry 6:
Crystalline In10SnHg4 at its relaxed geometry, computed with PBE.

## Properties
* size of the total moment: 0.000 Bohr magnetons per cell
* electronic total energy: -2.131 eV/atom
* space-group type: I4/m, No. 87
* energy of formation from the pure elements: 0.042 eV per atom
* theoretical density: 7.81 Mg/m³

Cell and atoms, written as POSCAR:
```
In10SnHg4
1.0
-4.777 -6.776 -2.368
-0.766 5.415 6.666
-1.755 5.392 -6.496
In Sn Hg
10 1 4
Cartesian
-4.652 -1.032 -3.358 In
-2.027 2.982 -4.544 In
-4.790 5.733 -1.490 In
-5.190 -2.361 1.371 In
-2.590 1.707 0.267 In
-5.272 1.048 2.346 In
-2.647 5.063 1.160 In
-4.709 2.324 -2.464 In
-2.108 6.391 -3.569 In
-2.508 -1.702 -0.708 In
0.000 0.000 0.000 Sn
-2.853 2.735 3.127 Hg
-5.012 0.029 -0.516 Hg
-2.286 4.001 -1.682 Hg
-4.446 1.296 -5.324 Hg
```


Entry 7:
Crystalline AcTbSmDy at its relaxed geometry, computed with PBE.

## Properties
* size of the total moment: 0.000 Bohr magnetons per cell
* electronic total energy: -4.387 eV/atom
* space-group type: F-43m, No. 216
* energy of formation from the pure elements: 0.128 eV per atom
* theoretical density: 8.16 Mg/m³

Cell and atoms, written as POSCAR:
```
AcTbSmDy
1.0
5.859 0.000 0.000
2.930 5.074 0.000
2.930 1.691 4.784
Ac Tb Sm Dy
1 1 1 1
Cartesian
2.930 1.691 1.196 Ac
0.000 0.000 0.000 Tb
8.789 5.074 3.588 Sm
5.859 3.383 2.392 Dy
```


Entry 8:
Crystalline K3Pr3MnSe8 at its relaxed geometry, computed with PBE.

## Properties
* size of the total moment: 2.981 Bohr magnetons per cell
* electronic total energy: -5.046 eV/atom
* space-group type: R-3m, No. 166
* theoretical density: 4.18 Mg/m³
* energy relative to the elements, uncorrected: -1.4009 eV/atom

Cell and atoms, written as POSCAR:
```
K3Pr3MnSe8
1.0
8.467 0.000 0.000
-4.234 7.333 -0.033
0.000 -4.855 7.868
K Pr Mn Se
3 3 1 8
Cartesian
0.000 0.000 0.000 K
-2.117 3.667 -0.017 K
2.117 3.667 -0.017 K
4.234 -2.428 3.934 Pr
2.117 1.239 3.918 Pr
-2.117 1.239 3.918 Pr
0.000 -2.428 3.934 Mn
0.000 2.454 2.228 Se
4.234 0.024 5.608 Se
4.234 2.764 2.418 Se
0.000 -0.286 5.417 Se
6.619 -1.367 2.437 Se
-2.385 3.845 5.398 Se
1.848 -1.367 2.437 Se
2.385 3.845 5.398 Se
```


Entry 9:
Crystalline AcYNi4 at its relaxed geometry, computed with PBE.

## Properties
* size of the total moment: 0.000 Bohr magnetons per cell
* electronic total energy: -5.884 eV/atom
* space-group type: F-43m, No. 216
* energy of formation from the pure elements: -0.268 eV per atom
* theoretical density: 9.11 Mg/m³

Cell and atoms, written as POSCAR:
```
AcYNi4
1.0
-4.528 -2.181 1.396
-0.881 -5.044 -0.994
-0.139 -3.444 3.915
Y Ni Ac
1 4 1
Cartesian
0.000 0.000 0.000 Y
-3.402 -4.943 0.730 Ni
-3.028 -4.138 3.202 Ni
-3.472 -6.678 2.702 Ni
-1.192 -5.579 1.999 Ni
-1.387 -2.667 1.079 Ac
```


Entry 10:
Crystalline Ba3BiSb at its relaxed geometry, computed with PBE.

## Properties
* size of the total moment: 0.000 Bohr magnetons per cell
* electronic total energy: -3.380 eV/atom
* space-group type: Pm-3m, No. 221
* theoretical density: 4.45 Mg/m³
* energy relative to the elements, uncorrected: -0.6259 eV/atom

Cell and atoms, written as POSCAR:
```
Ba3BiSb
1.0
6.522 0.000 0.000
0.000 6.522 0.000
0.000 0.000 6.522
Sb Bi Ba
1 1 3
Cartesian
0.000 0.000 0.000 Sb
3.261 3.261 3.261 Bi
0.000 3.261 0.000 Ba
0.000 0.000 3.261 Ba
3.261 0.000 0.000 Ba
```